## AsRhCSe2 (PBE)

Data for a relaxed structure of AsRhCSe2.

Properties
- Total magnetization: 0.0 μB per cell
- Formation energy without anion corrections: 1.1047 eV per atom
- Energy above the lowest structure with this stoichiometry: 0.00 eV per formula unit
- SG: P4/mmm, No. 123
- E_tot: -4.5341 eV per atom

Cell lengths 4.3520, 4.3520, 4.2022 Å; angles 90.00, 90.00, 90.00 degrees
Closest atoms and distances in Å follow each position.
Atoms (fractional coordinates):
1 As 0.0000 0.0000 0.5000  2 C 2.10
2 Rh 0.5000 0.5000 0.5000  8 Se 3.02, 4 As 3.08
3 C 0.0000 0.0000 0.0000  2 As 2.10, 4 Se 2.18
4 Se 0.0000 0.5000 0.0000  2 C 2.18
5 Se 0.5000 0.0000 0.0000  2 C 2.18

## AsRhCSe2 (PBE)

Data for a relaxed structure of AsRhCSe2.

Properties
- Total magnetization: 0.0 μB per cell
- Formation energy without anion corrections: 1.7082 eV per atom
- Energy above the lowest structure with this stoichiometry: 3.02 eV per formula unit
- SG: P4/mmm, No. 123
- E_tot: -3.9306 eV per atom

Cell lengths 5.0144, 5.0144, 4.5898 Å; angles 90.00, 90.00, 90.00 degrees
Closest atoms and distances in Å follow each position.
Atoms (fractional coordinates):
1 As 0.0000 0.0000 0.5000  2 Rh 2.29
2 Rh 0.0000 0.0000 0.0000  2 As 2.29, 4 Se 2.51
3 C 0.5000 0.5000 0.5000  8 Se 3.40, 4 As 3.55
4 Se 0.0000 0.5000 0.0000  2 Rh 2.51
5 Se 0.5000 0.0000 0.0000  2 Rh 2.51

## As2RhCSe (PBE)

Data for a relaxed structure of As2RhCSe.

Properties
- Total magnetization: 0.0 μB per cell
- Formation energy without anion corrections: 1.0132 eV per atom
- Energy above the lowest structure with this stoichiometry: 0.00 eV per formula unit
- SG: P4/mmm, No. 123
- E_tot: -4.8586 eV per atom

Cell lengths 4.2219, 4.2219, 4.3808 Å; angles 90.00, 90.00, 90.00 degrees
Closest atoms and distances in Å follow each position.
Atoms (fractional coordinates):
1 As 0.0000 0.5000 0.0000  2 C 2.11
2 As 0.5000 0.0000 0.0000  2 C 2.11
3 Rh 0.5000 0.5000 0.5000  4 Se 2.99, 8 As 3.04
4 C 0.0000 0.0000 0.0000  4 As 2.11, 2 Se 2.19
5 Se 0.0000 0.0000 0.5000  2 C 2.19

no.,density of states at the Fermi level (states/eV per atom)
1,0.48
2,0.99
3,0.64